# 1
DFT (PBE-GGA) results for crystalline Fe8ReMo3 at its relaxed geometry.

## Properties
VASP energy in eV/atom: -9.38
Formation energy in meV per atom: 8

The structure in CIF format:
```
data_Fe8ReMo3
_cell_length_a 4.7016
_cell_length_b 4.7016
_cell_length_c 23.0320
_cell_angle_alpha 90.00
_cell_angle_beta 90.00
_cell_angle_gamma 120.00
_space_group_name_H-M_alt 'R 3 m'
_space_group_IT_number 160
_space_group_name_Hall 'R 3 -2"'
loop_
_atom_site_label
_atom_site_type_symbol
_atom_site_fract_x
_atom_site_fract_y
_atom_site_fract_z
Fe1 Fe 0.0000 0.0000 0.0000
Fe2 Fe 0.0000 0.0000 0.5001
Fe3 Fe 0.0002 0.5001 0.2501
Fe4 Fe 0.1670 0.3339 0.0834
Re1 Re 0.0000 0.0000 0.8132
Mo1 Mo 0.0000 0.0000 0.1858
Mo2 Mo 0.0000 0.0000 0.3123
Mo3 Mo 0.0000 0.0000 0.6892
```


# 2
DFT (PBE-GGA) results for crystalline K2ZrPbW at its relaxed geometry.

## Properties
VASP energy in eV/atom: -4.04
Formation energy in meV per atom: 1443

The structure in CIF format:
```
data_K2ZrPbW
_cell_length_a 6.322
_cell_length_b 6.322
_cell_length_c 4.977
_cell_angle_alpha 90.00
_cell_angle_beta 90.00
_cell_angle_gamma 90.00
_space_group_name_H-M_alt 'P 4/m m m'
_space_group_IT_number 123
_space_group_name_Hall '-P 4 2'
loop_
_atom_site_label
_atom_site_type_symbol
_atom_site_fract_x
_atom_site_fract_y
_atom_site_fract_z
K1 K 0.000 0.500 0.000
Zr1 Zr 0.000 0.000 0.500
Pb1 Pb 0.500 0.500 0.500
W1 W 0.000 0.000 0.000
```


# 3
DFT (PBE-GGA) results for crystalline LiPr2Rh2 at its relaxed geometry.

## Properties
VASP energy in eV/atom: -5.77
Formation energy in meV per atom: -535

The structure in CIF format:
```
data_LiPr2Rh2
_cell_length_a 4.203
_cell_length_b 6.073
_cell_length_c 8.518
_cell_angle_alpha 90.00
_cell_angle_beta 90.00
_cell_angle_gamma 90.00
_space_group_name_H-M_alt 'I m m m'
_space_group_IT_number 71
_space_group_name_Hall '-I 2 2'
loop_
_atom_site_label
_atom_site_type_symbol
_atom_site_fract_x
_atom_site_fract_y
_atom_site_fract_z
Li1 Li 0.000 0.000 0.000
Pr1 Pr 0.000 0.500 0.203
Rh1 Rh 0.000 0.236 0.500
```


# 4
DFT (PBE-GGA) results for crystalline NaTeF4 at its relaxed geometry.

## Properties
VASP energy in eV/atom: -4.08
Formation energy from raw total energies in eV/atom: -2.088

The structure in CIF format:
```
data_NaTeF4
_cell_length_a 6.154
_cell_length_b 5.877
_cell_length_c 5.819
_cell_angle_alpha 90.00
_cell_angle_beta 90.00
_cell_angle_gamma 90.00
_space_group_name_H-M_alt 'P m n 21'
_space_group_IT_number 31
_space_group_name_Hall 'P 2ac -2'
loop_
_atom_site_label
_atom_site_type_symbol
_atom_site_fract_x
_atom_site_fract_y
_atom_site_fract_z
Na1 Na 0.000 0.035 0.000
Te1 Te 0.000 0.574 0.441
F1 F 0.000 0.400 0.138
F2 F 0.000 0.818 0.685
F3 F 0.200 0.799 0.271
```


# 5
DFT (PBE-GGA) results for crystalline CrInCl2 at its relaxed geometry.

## Properties
VASP energy in eV/atom: -4.23
Formation energy from raw total energies in eV/atom: -0.218

The structure in CIF format:
```
data_CrInCl2
_cell_length_a 4.090
_cell_length_b 4.090
_cell_length_c 12.210
_cell_angle_alpha 90.00
_cell_angle_beta 90.00
_cell_angle_gamma 90.00
_space_group_name_H-M_alt 'I -4 m 2'
_space_group_IT_number 119
_space_group_name_Hall 'I -4 -2'
loop_
_atom_site_label
_atom_site_type_symbol
_atom_site_fract_x
_atom_site_fract_y
_atom_site_fract_z
Cr1 Cr 0.000 0.000 0.000
In1 In 0.000 0.500 0.750
Cl1 Cl 0.000 0.000 0.500
Cl2 Cl 0.000 0.500 0.250
```


# 6
DFT (PBE-GGA) results for crystalline Pm8TmIn2 at its relaxed geometry.

## Properties
VASP energy in eV/atom: -4.44
Formation energy in meV per atom: -83

The structure in CIF format:
```
data_Pm8TmIn2
_cell_length_a 17.368
_cell_length_b 6.774
_cell_length_c 6.200
_cell_angle_alpha 90.00
_cell_angle_beta 102.93
_cell_angle_gamma 90.00
_space_group_name_H-M_alt 'C 1 2/m 1'
_space_group_IT_number 12
_space_group_name_Hall '-C 2y'
loop_
_atom_site_label
_atom_site_type_symbol
_atom_site_fract_x
_atom_site_fract_y
_atom_site_fract_z
Pm1 Pm 0.002 0.000 0.242
Pm2 Pm 0.134 0.500 0.077
Pm3 Pm 0.172 0.240 0.611
Tm1 Tm 0.000 0.500 0.500
In1 In 0.179 0.000 0.104
```